1.
The following is a DFT calculation (GGA-PBE) of a relaxed structure of InAuBr2.

Results
As for the crystal system: monoclinic. The value obtained for the density of states at the Fermi level is 0.0851 states/eV/atom. Its polymorph energy (0 for the lowest one) is 0.017 eV/atom. The symmetry is No. 6.

Cell: 5.6881 3.7316 6.3445 Å, 90.00 108.01 90.00°
With the nearest neighbours (Å) after each atom.
Element x y z (fractional)
In  0.0000  0.0000  0.0000  2 Au 2.69, 3 Br 2.71-2.80
Au  0.2639  0.5000  0.8668  2 In 2.69, 2 Br 2.83
Br  0.5404  0.0000  0.7036  1 In 2.71, 2 Au 2.83
Br  0.8893  0.5000  0.2840  2 In 2.80



2.
The following is a DFT calculation (GGA-PBE) of a relaxed structure of Er4HgRu2Rh.

Results
As for the crystal system: trigonal. The calculation puts the formation energy at -4.39 eV per formula unit. The value obtained for the density of states at the Fermi level is 0.5461 states/eV/atom. The symmetry is No. 166.

Cell: 8.4643 8.4643 8.4643 Å, 33.49 33.49 33.49°
With the nearest neighbours (Å) after each atom.
Element x y z (fractional)
Er  0.1196  0.1196  0.1196  1 Rh 2.86, 4 Ru 2.95-3.12, 3 Hg 3.03
Er  0.3713  0.3713  0.3713  4 Ru 2.90-3.02, 3 Rh 2.96, 1 Hg 3.08
Er  0.6287  0.6287  0.6287  4 Ru 2.90-3.02, 3 Rh 2.96, 1 Hg 3.08
Er  0.8804  0.8804  0.8804  1 Rh 2.86, 4 Ru 2.95-3.12, 3 Hg 3.03
Hg  0.5000  0.5000  0.5000  8 Er 3.03-3.08
Ru  0.2500  0.2500  0.2500  8 Er 2.90-3.12
Ru  0.7500  0.7500  0.7500  8 Er 2.90-3.12
Rh  0.0000  0.0000  0.0000  8 Er 2.86-2.96



3.
The following is a DFT calculation (GGA-PBE) of a relaxed structure of ZrAgI2O.

Results
As for the crystal system: tetragonal. The value obtained for the density of states at the Fermi level is 0.9042 states/eV/atom. Its polymorph energy (0 for the lowest one) is 1.217 eV/atom. The symmetry is No. 123.

Cell: 5.7354 5.7354 3.9438 Å, 90.00 90.00 90.00°
With the nearest neighbours (Å) after each atom.
Element x y z (fractional)
Zr  0.0000  0.0000  0.0000  8 I 3.48
Ag  0.5000  0.5000  0.5000  2 O 1.97
I  0.0000  0.5000  0.5000  2 Ag 2.87
I  0.5000  0.0000  0.5000  2 Ag 2.87
O  0.5000  0.5000  0.0000  2 Ag 1.97



4.
The following is a DFT calculation (GGA-PBE) of a relaxed structure of SbBr2Cl.

Results
As for the crystal system: cubic. The value obtained for the density of states at the Fermi level is 0.0612 states/eV/atom. Its polymorph energy (0 for the lowest one) is 0.694 eV/atom. The symmetry is No. 216.

Cell: 5.1570 5.1570 5.1570 Å, 60.00 60.00 60.00°
With the nearest neighbours (Å) after each atom.
Element x y z (fractional)
Sb  0.0000  0.0000  0.0000  4 Cl 3.16, 4 Br 3.16
Br  0.2500  0.2500  0.2500  4 Br 3.16, 4 Sb 3.16
Br  0.5000  0.5000  0.5000  4 Cl 3.16, 4 Br 3.16
Cl  0.7500  0.7500  0.7500  4 Sb 3.16, 4 Br 3.16